Crystalline Sr2LiAg at its relaxed geometry, computed with PBE-GGA. Values from VASP.

Cell and atoms, written as Quantum ESPRESSO input:
```
&SYSTEM
  ibrav = 0, nat = 8, ntyp = 3
/
ATOMIC_SPECIES
Sr 87.62 Sr.upf
Li 6.94 Li.upf
Ag 107.87 Ag.upf
CELL_PARAMETERS angstrom
-4.432 4.432 3.815
4.432 -4.432 3.815
4.432 4.432 -3.815
ATOMIC_POSITIONS crystal
Sr 0.100 0.625 0.975
Sr 0.375 0.350 0.475
Sr 0.650 0.125 0.025
Sr 0.875 0.900 0.525
Li 0.250 0.750 0.500
Li 0.500 0.500 0.000
Ag 0.000 0.000 0.000
Ag 0.750 0.250 0.500
```

Values from the calculation:
Size of the total moment   0.00 μB/cell
Theoretical density   3.213 g cm⁻³
SG   I-42d (122)
ΔE to the lowest computed polymorph   249 meV/atom
DFT formation energy   0.33 eV per formula unit

***

Crystalline Sr2Li3Ag at its relaxed geometry, computed with PBE-GGA. Values from VASP.

Cell and atoms, written as Quantum ESPRESSO input:
```
&SYSTEM
  ibrav = 0, nat = 6, ntyp = 3
/
ATOMIC_SPECIES
Sr 87.62 Sr.upf
Li 6.94 Li.upf
Ag 107.87 Ag.upf
CELL_PARAMETERS angstrom
4.454 0.000 0.000
0.000 4.814 0.000
0.000 0.000 8.564
ATOMIC_POSITIONS crystal
Sr 0.000 0.000 0.000
Sr 0.000 0.500 0.457
Li 0.500 0.000 0.630
Li 0.500 0.500 0.154
Li 0.500 0.500 0.814
Ag 0.500 0.000 0.310
```

Values from the calculation:
Size of the total moment   0.00 μB/cell
Theoretical density   2.748 g cm⁻³
SG   Pmm2 (25)
ΔE to the lowest computed polymorph   0 meV/atom
DFT formation energy   -0.40 eV per formula unit

***

Crystalline Sr2Li2Ag3 at its relaxed geometry, computed with PBE-GGA. Values from VASP.

Cell and atoms, written as Quantum ESPRESSO input:
```
&SYSTEM
  ibrav = 0, nat = 14, ntyp = 3
/
ATOMIC_SPECIES
Sr 87.62 Sr.upf
Li 6.94 Li.upf
Ag 107.87 Ag.upf
CELL_PARAMETERS angstrom
2.254 -10.245 0.000
2.254 10.245 0.000
0.000 0.000 7.913
ATOMIC_POSITIONS crystal
Sr 0.054 0.946 0.750
Sr 0.155 0.845 0.250
Sr 0.845 0.155 0.750
Sr 0.946 0.054 0.250
Li 0.308 0.692 0.060
Li 0.308 0.692 0.440
Li 0.692 0.308 0.560
Li 0.692 0.308 0.940
Ag 0.223 0.777 0.750
Ag 0.438 0.562 0.570
Ag 0.438 0.562 0.930
Ag 0.562 0.438 0.070
Ag 0.562 0.438 0.430
Ag 0.777 0.223 0.250
```

Values from the calculation:
Size of the total moment   0.00 μB/cell
Theoretical density   4.660 g cm⁻³
SG   Cmcm (63)
DFT formation energy   -1.61 eV per formula unit

***

Crystalline Sr2Li3Ag2 at its relaxed geometry, computed with PBE-GGA. Values from VASP.

Cell and atoms, written as Quantum ESPRESSO input:
```
&SYSTEM
  ibrav = 0, nat = 7, ntyp = 3
/
ATOMIC_SPECIES
Sr 87.62 Sr.upf
Li 6.94 Li.upf
Ag 107.87 Ag.upf
CELL_PARAMETERS angstrom
5.810 -2.239 0.000
5.810 2.239 0.000
-3.525 0.000 7.165
ATOMIC_POSITIONS crystal
Sr 0.136 0.136 0.271
Sr 0.864 0.864 0.729
Li 0.348 0.348 0.070
Li 0.500 0.500 0.500
Li 0.652 0.652 0.930
Ag 0.136 0.136 0.698
Ag 0.864 0.864 0.302
```

Values from the calculation:
Size of the total moment   0.00 μB/cell
Theoretical density   3.669 g cm⁻³
SG   C2/m (12)
DFT formation energy   -1.31 eV per formula unit

***

Crystalline SrLi2Ag10 at its relaxed geometry, computed with PBE-GGA. Values from VASP.

Cell and atoms, written as Quantum ESPRESSO input:
```
&SYSTEM
  ibrav = 0, nat = 13, ntyp = 3
/
ATOMIC_SPECIES
Sr 87.62 Sr.upf
Li 6.94 Li.upf
Ag 107.87 Ag.upf
CELL_PARAMETERS angstrom
0.000 6.716 6.924
2.698 0.000 6.924
2.698 6.716 0.000
ATOMIC_POSITIONS crystal
Sr 0.000 0.000 0.000
Li 0.000 0.500 0.000
Li 0.500 0.000 0.500
Ag 0.000 0.000 0.500
Ag 0.003 0.353 0.647
Ag 0.275 0.489 0.511
Ag 0.353 0.003 0.997
Ag 0.489 0.275 0.725
Ag 0.500 0.500 0.000
Ag 0.511 0.725 0.275
Ag 0.647 0.997 0.003
Ag 0.725 0.511 0.489
Ag 0.997 0.647 0.353
```

Values from the calculation:
Size of the total moment   0.00 μB/cell
Theoretical density   7.810 g cm⁻³
SG   Fmmm (69)
DFT formation energy   -1.48 eV per formula unit

***

Crystalline Sr2Li2Ag at its relaxed geometry, computed with PBE-GGA. Values from VASP.

Cell and atoms, written as Quantum ESPRESSO input:
```
&SYSTEM
  ibrav = 0, nat = 5, ntyp = 3
/
ATOMIC_SPECIES
Sr 87.62 Sr.upf
Li 6.94 Li.upf
Ag 107.87 Ag.upf
CELL_PARAMETERS angstrom
-2.548 2.827 5.289
2.548 -2.827 5.289
2.548 2.827 -5.289
ATOMIC_POSITIONS crystal
Sr 0.189 0.189 0.000
Sr 0.811 0.811 0.000
Li 0.261 0.500 0.761
Li 0.739 0.500 0.239
Ag 0.500 0.000 0.500
```

Values from the calculation:
Size of the total moment   0.00 μB/cell
Theoretical density   3.237 g cm⁻³
SG   Immm (71)
ΔE to the lowest computed polymorph   0 meV/atom
DFT formation energy   -0.45 eV per formula unit

***

Crystalline Sr3LiAg3 at its relaxed geometry, computed with PBE-GGA. Values from VASP.

Cell and atoms, written as Quantum ESPRESSO input:
```
&SYSTEM
  ibrav = 0, nat = 14, ntyp = 3
/
ATOMIC_SPECIES
Sr 87.62 Sr.upf
Li 6.94 Li.upf
Ag 107.87 Ag.upf
CELL_PARAMETERS angstrom
6.021 -2.290 0.000
6.021 2.290 0.000
-5.585 0.000 15.231
ATOMIC_POSITIONS crystal
Sr 0.028 0.028 0.383
Sr 0.103 0.103 0.922
Sr 0.246 0.246 0.231
Sr 0.754 0.754 0.769
Sr 0.897 0.897 0.078
Sr 0.972 0.972 0.617
Li 0.260 0.260 0.587
Li 0.740 0.740 0.413
Ag 0.370 0.370 0.455
Ag 0.392 0.392 0.922
Ag 0.456 0.456 0.764
Ag 0.544 0.544 0.236
Ag 0.608 0.608 0.078
Ag 0.630 0.630 0.545
```

Values from the calculation:
Size of the total moment   0.00 μB/cell
Theoretical density   4.692 g cm⁻³
SG   C2/m (12)
DFT formation energy   -1.91 eV per formula unit

***

Crystalline Sr2Li12Ag5 at its relaxed geometry, computed with PBE-GGA. Values from VASP.

Cell and atoms, written as Quantum ESPRESSO input:
```
&SYSTEM
  ibrav = 0, nat = 19, ntyp = 3
/
ATOMIC_SPECIES
Sr 87.62 Sr.upf
Li 6.94 Li.upf
Ag 107.87 Ag.upf
CELL_PARAMETERS angstrom
4.973 2.871 4.696
-4.973 2.871 4.696
0.000 -5.743 4.696
ATOMIC_POSITIONS crystal
Sr 0.165 0.165 0.165
Sr 0.835 0.835 0.835
Li 0.159 0.159 0.627
Li 0.159 0.627 0.159
Li 0.233 0.500 0.767
Li 0.233 0.767 0.500
Li 0.373 0.841 0.841
Li 0.500 0.233 0.767
Li 0.500 0.767 0.233
Li 0.627 0.159 0.159
Li 0.767 0.233 0.500
Li 0.767 0.500 0.233
Li 0.841 0.373 0.841
Li 0.841 0.841 0.373
Ag 0.000 0.500 0.500
Ag 0.399 0.399 0.399
Ag 0.500 0.000 0.500
Ag 0.500 0.500 0.000
Ag 0.601 0.601 0.601
```

Values from the calculation:
Size of the total moment   0.00 μB/cell
Theoretical density   3.293 g cm⁻³
SG   R-3m (166)
DFT formation energy   -2.51 eV per formula unit

***

Crystalline SrLi8Ag4 at its relaxed geometry, computed with PBE-GGA. Values from VASP.

Cell and atoms, written as Quantum ESPRESSO input:
```
&SYSTEM
  ibrav = 0, nat = 13, ntyp = 3
/
ATOMIC_SPECIES
Sr 87.62 Sr.upf
Li 6.94 Li.upf
Ag 107.87 Ag.upf
CELL_PARAMETERS angstrom
-4.740 4.740 2.846
4.740 -4.740 2.846
4.740 4.740 -2.846
ATOMIC_POSITIONS crystal
Sr 0.000 0.000 0.000
Li 0.000 0.352 0.352
Li 0.000 0.648 0.648
Li 0.271 0.500 0.771
Li 0.352 0.000 0.352
Li 0.500 0.271 0.771
Li 0.500 0.729 0.229
Li 0.648 0.000 0.648
Li 0.729 0.500 0.229
Ag 0.000 0.000 0.500
Ag 0.000 0.500 0.000
Ag 0.500 0.000 0.000
Ag 0.500 0.500 0.500
```

Values from the calculation:
Size of the total moment   0.00 μB/cell
Theoretical density   3.731 g cm⁻³
SG   I4/mmm (139)
DFT formation energy   -2.16 eV per formula unit

***

Crystalline SrLi7Ag5 at its relaxed geometry, computed with PBE-GGA. Values from VASP.

Cell and atoms, written as Quantum ESPRESSO input:
```
&SYSTEM
  ibrav = 0, nat = 13, ntyp = 3
/
ATOMIC_SPECIES
Sr 87.62 Sr.upf
Li 6.94 Li.upf
Ag 107.87 Ag.upf
CELL_PARAMETERS angstrom
-2.840 4.805 4.660
2.840 -4.805 4.660
2.840 4.805 -4.660
ATOMIC_POSITIONS crystal
Sr 0.000 0.000 0.000
Li 0.226 0.506 0.720
Li 0.242 0.742 0.500
Li 0.358 0.358 0.000
Li 0.378 0.022 0.355
Li 0.656 0.656 0.000
Li 0.667 0.022 0.645
Li 0.786 0.506 0.280
Ag 0.017 0.008 0.505
Ag 0.017 0.512 0.010
Ag 0.503 0.008 0.990
Ag 0.503 0.512 0.495
Ag 0.792 0.292 0.500
```

Values from the calculation:
Size of the total moment   0.00 μB/cell
Theoretical density   4.410 g cm⁻³
SG   Imm2 (44)
DFT formation energy   -2.34 eV per formula unit

***

Crystalline SrLiTbAg at its relaxed geometry, computed with PBE-GGA. Values from VASP.

Cell and atoms, written as Quantum ESPRESSO input:
```
&SYSTEM
  ibrav = 0, nat = 4, ntyp = 4
/
ATOMIC_SPECIES
Sr 87.62 Sr.upf
Li 6.94 Li.upf
Tb 158.93 Tb.upf
Ag 107.87 Ag.upf
CELL_PARAMETERS angstrom
0.000 3.817 3.817
3.817 0.000 3.817
3.817 3.817 0.000
ATOMIC_POSITIONS crystal
Sr 0.000 0.000 0.000
Li 0.750 0.750 0.750
Tb 0.500 0.500 0.500
Ag 0.250 0.250 0.250
```

Values from the calculation:
Size of the total moment   0.00 μB/cell
Theoretical density   5.394 g cm⁻³
SG   F-43m (216)
DFT formation energy   -0.11 eV per formula unit

***

Crystalline SrLiAgTe2 at its relaxed geometry, computed with PBE-GGA. Values from VASP.

Cell and atoms, written as Quantum ESPRESSO input:
```
&SYSTEM
  ibrav = 0, nat = 10, ntyp = 4
/
ATOMIC_SPECIES
Sr 87.62 Sr.upf
Li 6.94 Li.upf
Ag 107.87 Ag.upf
Te 127.60 Te.upf
CELL_PARAMETERS angstrom
3.053 -7.769 0.000
3.053 7.769 0.000
0.000 0.000 6.107
ATOMIC_POSITIONS crystal
Sr 0.250 0.750 0.766
Sr 0.750 0.250 0.234
Li 0.250 0.250 0.500
Li 0.750 0.750 0.500
Ag 0.000 0.000 0.000
Ag 0.500 0.500 0.000
Te 0.133 0.867 0.272
Te 0.367 0.633 0.272
Te 0.633 0.367 0.728
Te 0.867 0.133 0.728
```

Values from the calculation:
Size of the total moment   0.00 μB/cell
Theoretical density   5.246 g cm⁻³
Formation energy from raw total energies   -902 meV per atom
SG   Cmme (67)

***

Crystalline SrLiAgTe at its relaxed geometry, computed with PBE-GGA. Values from VASP.

Cell and atoms, written as Quantum ESPRESSO input:
```
&SYSTEM
  ibrav = 0, nat = 4, ntyp = 4
/
ATOMIC_SPECIES
Sr 87.62 Sr.upf
Li 6.94 Li.upf
Ag 107.87 Ag.upf
Te 127.60 Te.upf
CELL_PARAMETERS angstrom
0.000 3.807 3.807
3.807 0.000 3.807
3.807 3.807 0.000
ATOMIC_POSITIONS crystal
Sr 0.000 0.000 0.000
Li 0.500 0.500 0.500
Ag 0.250 0.250 0.250
Te 0.750 0.750 0.750
```

Values from the calculation:
Size of the total moment   0.00 μB/cell
Theoretical density   4.965 g cm⁻³
Formation energy from raw total energies   -656 meV per atom
SG   F-43m (216)

***

Crystalline SrLi4TlAg2 at its relaxed geometry, computed with PBE-GGA. Values from VASP.

Cell and atoms, written as Quantum ESPRESSO input:
```
&SYSTEM
  ibrav = 0, nat = 8, ntyp = 4
/
ATOMIC_SPECIES
Sr 87.62 Sr.upf
Li 6.94 Li.upf
Tl 204.38 Tl.upf
Ag 107.87 Ag.upf
CELL_PARAMETERS angstrom
2.424 1.399 8.169
-2.424 1.399 8.169
0.000 -2.799 8.169
ATOMIC_POSITIONS crystal
Sr 0.000 0.000 0.000
Li 0.137 0.137 0.137
Li 0.391 0.391 0.391
Li 0.609 0.609 0.609
Li 0.863 0.863 0.863
Tl 0.500 0.500 0.500
Ag 0.250 0.250 0.250
Ag 0.750 0.750 0.750
```

Values from the calculation:
Size of the total moment   0.00 μB/cell
Theoretical density   5.349 g cm⁻³
SG   R-3m (166)
DFT formation energy   -1.26 eV per formula unit

***

Crystalline SrLiTl4Ag2 at its relaxed geometry, computed with PBE-GGA. Values from VASP.

Cell and atoms, written as Quantum ESPRESSO input:
```
&SYSTEM
  ibrav = 0, nat = 8, ntyp = 4
/
ATOMIC_SPECIES
Sr 87.62 Sr.upf
Li 6.94 Li.upf
Tl 204.38 Tl.upf
Ag 107.87 Ag.upf
CELL_PARAMETERS angstrom
2.527 1.459 9.134
-2.527 1.459 9.134
0.000 -2.918 9.134
ATOMIC_POSITIONS crystal
Sr 0.000 0.000 0.000
Li 0.500 0.500 0.500
Tl 0.132 0.132 0.132
Tl 0.393 0.393 0.393
Tl 0.607 0.607 0.607
Tl 0.868 0.868 0.868
Ag 0.248 0.248 0.248
Ag 0.752 0.752 0.752
```

Values from the calculation:
Size of the total moment   0.00 μB/cell
Theoretical density   9.269 g cm⁻³
SG   R-3m (166)
DFT formation energy   -0.93 eV per formula unit

***

Crystalline SrLiTlAg2 at its relaxed geometry, computed with PBE-GGA. Values from VASP.

Cell and atoms, written as Quantum ESPRESSO input:
```
&SYSTEM
  ibrav = 0, nat = 5, ntyp = 4
/
ATOMIC_SPECIES
Sr 87.62 Sr.upf
Li 6.94 Li.upf
Tl 204.38 Tl.upf
Ag 107.87 Ag.upf
CELL_PARAMETERS angstrom
4.955 0.000 0.000
0.000 4.955 0.000
0.000 0.000 5.060
ATOMIC_POSITIONS crystal
Sr 0.000 0.000 0.000
Li 0.500 0.500 0.500
Tl 0.500 0.500 0.000
Ag 0.000 0.500 0.500
Ag 0.500 0.000 0.500
```

Values from the calculation:
Size of the total moment   0.00 μB/cell
Theoretical density   6.880 g cm⁻³
SG   P4/mmm (123)
ΔE to the lowest computed polymorph   120 meV/atom
DFT formation energy   -0.43 eV per formula unit

***

Crystalline SrLi2Tl2Ag2 at its relaxed geometry, computed with PBE-GGA. Values from VASP.

Cell and atoms, written as Quantum ESPRESSO input:
```
&SYSTEM
  ibrav = 0, nat = 7, ntyp = 4
/
ATOMIC_SPECIES
Sr 87.62 Sr.upf
Li 6.94 Li.upf
Tl 204.38 Tl.upf
Ag 107.87 Ag.upf
CELL_PARAMETERS angstrom
2.374 1.371 8.683
-2.374 1.371 8.683
0.000 -2.742 8.683
ATOMIC_POSITIONS crystal
Sr 0.000 0.000 0.000
Li 0.143 0.143 0.143
Li 0.857 0.857 0.857
Tl 0.256 0.256 0.256
Tl 0.744 0.744 0.744
Ag 0.446 0.446 0.446
Ag 0.554 0.554 0.554
```

Values from the calculation:
Size of the total moment   0.00 μB/cell
Theoretical density   7.110 g cm⁻³
SG   R-3m (166)
DFT formation energy   -1.37 eV per formula unit

***

Crystalline SrLiTlAg3 at its relaxed geometry, computed with PBE-GGA. Values from VASP.

Cell and atoms, written as Quantum ESPRESSO input:
```
&SYSTEM
  ibrav = 0, nat = 12, ntyp = 4
/
ATOMIC_SPECIES
Sr 87.62 Sr.upf
Li 6.94 Li.upf
Tl 204.38 Tl.upf
Ag 107.87 Ag.upf
CELL_PARAMETERS angstrom
3.111 -6.928 0.000
3.111 6.928 0.000
0.000 0.000 6.502
ATOMIC_POSITIONS crystal
Sr 0.198 0.802 0.750
Sr 0.802 0.198 0.250
Li 0.420 0.580 0.750
Li 0.580 0.420 0.250
Tl 0.153 0.847 0.250
Tl 0.847 0.153 0.750
Ag 0.229 0.229 0.000
Ag 0.229 0.229 0.500
Ag 0.371 0.629 0.250
Ag 0.629 0.371 0.750
Ag 0.771 0.771 0.000
Ag 0.771 0.771 0.500
```

Values from the calculation:
Size of the total moment   0.00 μB/cell
Theoretical density   7.377 g cm⁻³
SG   Cmcm (63)
DFT formation energy   -0.78 eV per formula unit

***

Crystalline Sr2Li12TlAg3 at its relaxed geometry, computed with PBE-GGA. Values from VASP.

Cell and atoms, written as Quantum ESPRESSO input:
```
&SYSTEM
  ibrav = 0, nat = 18, ntyp = 4
/
ATOMIC_SPECIES
Sr 87.62 Sr.upf
Li 6.94 Li.upf
Tl 204.38 Tl.upf
Ag 107.87 Ag.upf
CELL_PARAMETERS angstrom
5.003 2.888 4.634
-5.003 2.888 4.634
0.000 -5.777 4.634
ATOMIC_POSITIONS crystal
Sr 0.250 0.250 0.250
Sr 0.750 0.750 0.750
Li 0.151 0.582 0.582
Li 0.190 0.190 0.724
Li 0.190 0.724 0.190
Li 0.276 0.810 0.810
Li 0.418 0.418 0.849
Li 0.418 0.849 0.418
Li 0.582 0.151 0.582
Li 0.582 0.582 0.151
Li 0.724 0.190 0.190
Li 0.810 0.276 0.810
Li 0.810 0.810 0.276
Li 0.849 0.418 0.418
Tl 0.000 0.000 0.000
Ag 0.000 0.000 0.500
Ag 0.000 0.500 0.000
Ag 0.500 0.000 0.000
```

Values from the calculation:
Size of the total moment   0.00 μB/cell
Theoretical density   3.251 g cm⁻³
SG   R-3m (166)
DFT formation energy   -0.75 eV per formula unit

***

Crystalline Sr2LiTlAg at its relaxed geometry, computed with PBE-GGA. Values from VASP.

Cell and atoms, written as Quantum ESPRESSO input:
```
&SYSTEM
  ibrav = 0, nat = 5, ntyp = 4
/
ATOMIC_SPECIES
Sr 87.62 Sr.upf
Li 6.94 Li.upf
Tl 204.38 Tl.upf
Ag 107.87 Ag.upf
CELL_PARAMETERS angstrom
6.139 0.000 0.000
0.000 6.139 0.000
0.000 0.000 4.780
ATOMIC_POSITIONS crystal
Sr 0.000 0.500 0.000
Sr 0.500 0.000 0.000
Li 0.000 0.000 0.500
Tl 0.500 0.500 0.500
Ag 0.000 0.000 0.000
```

Values from the calculation:
Size of the total moment   0.00 μB/cell
Theoretical density   4.558 g cm⁻³
SG   P4/mmm (123)
DFT formation energy   -0.47 eV per formula unit